# 1
CrAgW2 after structural relaxation, computed with GGA-PBEsol.

Energy: -9.68 eV per atom
Density of states at the Fermi level: 2.80 states/eV/f.u.
Total magnetization: 0.0 μB/f.u.

The structure in extended XYZ format:
```
4
Lattice="2.606 0.000 0.000 -1.303 4.598 0.012 0.000 -0.615 4.980" Properties=species:S:1:pos:R:3 pbc="T T T"
Ag 0.000 -0.308 2.490
Cr 1.303 0.000 0.000
W 1.303 1.840 3.763
W 0.000 2.143 1.230
```

# 2
BaTl2Hg after structural relaxation, computed with GGA-PBEsol.

Energy: -2.36 eV per atom
Density of states at the Fermi level: 1.55 states/eV/f.u.
Total magnetization: 0.0 μB/f.u.

The structure in extended XYZ format:
```
4
Lattice="-5.373 0.599 -1.089 -3.371 -4.357 0.271 -3.698 -0.376 4.074" Properties=species:S:1:pos:R:3 pbc="T T T"
Tl 0.000 0.000 0.000
Tl -9.332 -3.100 2.442
Hg -3.111 -1.033 0.814
Ba -6.221 -2.067 1.628
```